No. 1
# PBE PmDyGe2Pd5, optimized geometry
# theoretical density: 9.85 g/cm3
# total moment: 0.0 μB/f.u.
# energy of formation from the pure elements: -0.8072 eV per atom
data_PmDyGe2Pd5
_chemical_formula_sum 'Pm1 Dy1 Ge2 Pd5'
_cell_length_a 4.263
_cell_length_b 4.263
_cell_length_c 9.133
_cell_angle_alpha 90.00
_cell_angle_beta 90.00
_cell_angle_gamma 90.00
_symmetry_space_group_name_H-M 'P 4/m m m'
_symmetry_Int_Tables_number 123
_symmetry_space_group_name_Hall '-P 4 2'
loop_
_atom_site_label
_atom_site_type_symbol
_atom_site_fract_x
_atom_site_fract_y
_atom_site_fract_z
Pm1 Pm 0.000 0.000 0.000
Dy1 Dy 0.000 0.000 0.500
Ge1 Ge 0.500 0.500 0.366
Pd1 Pd 0.000 0.500 0.228
Pd2 Pd 0.500 0.500 0.000


No. 2
# PBE Mg2TlNi, optimized geometry
# theoretical density: 6.95 g/cm3
# total moment: 0.0 μB/f.u.
# energy of formation from the pure elements: 0.0430 eV per atom
data_Mg2TlNi
_chemical_formula_sum 'Mg8 Tl4 Ni4'
_cell_length_a 6.678
_cell_length_b 6.678
_cell_length_c 6.678
_cell_angle_alpha 90.00
_cell_angle_beta 90.00
_cell_angle_gamma 90.00
_symmetry_space_group_name_H-M 'F m -3 m'
_symmetry_Int_Tables_number 225
_symmetry_space_group_name_Hall '-F 4 2 3'
loop_
_atom_site_label
_atom_site_type_symbol
_atom_site_fract_x
_atom_site_fract_y
_atom_site_fract_z
Mg1 Mg 0.250 0.250 0.250
Tl1 Tl 0.000 0.000 0.000
Ni1 Ni 0.000 0.000 0.500


No. 3
# PBE Tb12Dy2Zr, optimized geometry
# theoretical density: 8.11 g/cm3
# total moment: 0.0 μB/f.u.
# energy of formation from the pure elements: 0.1547 eV per atom
data_Tb12Dy2Zr
_chemical_formula_sum 'Tb12 Dy2 Zr1'
_cell_length_a 3.544
_cell_length_b 5.528
_cell_length_c 24.309
_cell_angle_alpha 90.00
_cell_angle_beta 92.50
_cell_angle_gamma 90.00
_symmetry_space_group_name_H-M 'P 1 2/m 1'
_symmetry_Int_Tables_number 10
_symmetry_space_group_name_Hall '-P 2y'
loop_
_atom_site_label
_atom_site_type_symbol
_atom_site_fract_x
_atom_site_fract_y
_atom_site_fract_z
Tb1 Tb 0.149 0.000 0.123
Tb2 Tb 0.233 0.500 0.444
Tb3 Tb 0.257 0.500 0.941
Tb4 Tb 0.272 0.000 0.576
Tb5 Tb 0.303 0.500 0.671
Tb6 Tb 0.348 0.500 0.803
Dy1 Dy 0.179 0.000 0.274
Zr1 Zr 0.500 0.000 0.000


No. 4
# PBE TbNi4Ir, optimized geometry
# theoretical density: 11.83 g/cm3
# total moment: 2.0 μB/f.u.
# polymorph energy (0 for the lowest one): 0.000 eV per atom
# energy of formation from the pure elements: -0.2270 eV per atom
data_TbNi4Ir
_chemical_formula_sum 'Tb4 Ni16 Ir4'
_cell_length_a 6.904
_cell_length_b 6.904
_cell_length_c 6.904
_cell_angle_alpha 90.00
_cell_angle_beta 90.00
_cell_angle_gamma 90.00
_symmetry_space_group_name_H-M 'F -4 3 m'
_symmetry_Int_Tables_number 216
_symmetry_space_group_name_Hall 'F -4 2 3'
loop_
_atom_site_label
_atom_site_type_symbol
_atom_site_fract_x
_atom_site_fract_y
_atom_site_fract_z
Tb1 Tb 0.000 0.000 0.000
Ni1 Ni 0.124 0.124 0.376
Ir1 Ir 0.250 0.250 0.750


No. 5
# PBE Ce2PuPt3, optimized geometry
# theoretical density: 12.43 g/cm3
# total moment: 6.2 μB/f.u.
# polymorph energy (0 for the lowest one): 0.000 eV per atom
# energy of formation from the pure elements: -0.9480 eV per atom
data_Ce2PuPt3
_chemical_formula_sum 'Ce8 Pu4 Pt12'
_cell_length_a 13.047
_cell_length_b 5.813
_cell_length_c 8.239
_cell_angle_alpha 90.00
_cell_angle_beta 108.43
_cell_angle_gamma 90.00
_symmetry_space_group_name_H-M 'C 1 2/c 1'
_symmetry_Int_Tables_number 15
_symmetry_space_group_name_Hall '-C 2yc'
loop_
_atom_site_label
_atom_site_type_symbol
_atom_site_fract_x
_atom_site_fract_y
_atom_site_fract_z
Ce1 Ce 0.168 0.000 0.084
Pu1 Pu 0.000 0.499 0.250
Pt1 Pt 0.000 0.001 0.750
Pt2 Pt 0.166 0.500 0.083


No. 6
# PBE PdCN3, optimized geometry
# theoretical density: 6.85 g/cm3
# total moment: 0.0 μB/f.u.
# uncorrected formation energy: 2.47 eV/atom
data_PdCN3
_chemical_formula_sum 'Pd1 C1 N3'
_cell_length_a 3.387
_cell_length_b 3.387
_cell_length_c 3.387
_cell_angle_alpha 90.00
_cell_angle_beta 90.00
_cell_angle_gamma 90.00
_symmetry_space_group_name_H-M 'P m -3 m'
_symmetry_Int_Tables_number 221
_symmetry_space_group_name_Hall '-P 4 2 3'
loop_
_atom_site_label
_atom_site_type_symbol
_atom_site_fract_x
_atom_site_fract_y
_atom_site_fract_z
Pd1 Pd 0.000 0.000 0.000
C1 C 0.500 0.500 0.500
N1 N 0.000 0.500 0.500